[1]
Density functional theory data (GGA-PBE) for a geometry-optimized Na7CaSn5 structure.

Cell: 6.732 8.392 8.392 Å, 80.06 66.35 66.35°
Positions (direct):
Na1 0.736 0.264 0.264
Na2 0.406 0.594 0.594
Na3 0.965 0.354 0.715
Na4 0.965 0.715 0.354
Na5 0.234 0.266 0.266
Na6 0.486 0.829 0.200
Na7 0.486 0.200 0.829
Ca1 0.093 0.907 0.907
Sn1 0.454 0.013 0.533
Sn2 0.001 0.013 0.533
Sn3 0.454 0.533 0.013
Sn4 0.001 0.533 0.013
Sn5 0.718 0.782 0.782

Summary:
- raw total energy (eV/atom) = -2.572
- theoretical density (g cm⁻³) = 3.3
- space-group type = Imm2, No. 44
- energy of formation (eV/atom) = -0.17

[2]
Density functional theory data (GGA-PBE) for a geometry-optimized KNaAg2 structure.

Cell: 5.467 5.467 5.467 Å, 60.00 60.00 60.00°
Positions (direct):
Na1 0.000 0.000 0.000
K1 0.500 0.500 0.500
Ag1 0.250 0.250 0.250
Ag2 0.750 0.750 0.750

Summary:
- offset from the most stable computed form (eV per formula unit) = 0.44
- raw total energy (eV/atom) = -1.900
- theoretical density (g cm⁻³) = 4.0
- space-group type = Fm-3m, No. 225
- energy of formation (eV/atom) = 0.13

[3]
Density functional theory data (GGA-PBE) for a geometry-optimized AsIr3 structure.

Cell: 4.582 4.582 4.582 Å, 90.00 90.00 90.00°
Positions (direct):
As1 0.000 0.000 0.000
Ir1 0.500 0.000 0.000
Ir2 0.000 0.500 0.000
Ir3 0.000 0.000 0.500

Summary:
- offset from the most stable computed form (eV per formula unit) = 6.74
- raw total energy (eV/atom) = -6.047
- theoretical density (g cm⁻³) = 11.2
- space-group type = Pm-3m, No. 221
- energy of formation (eV/atom) = 1.76

[4]
Density functional theory data (GGA-PBE) for a geometry-optimized TcHg2Sb structure.

Cell: 5.128 5.128 3.283 Å, 90.00 90.00 90.00°
Site moments in Bohr magnetons follow the coordinates.
Positions (direct):
Hg1 0.000 0.000 0.000  -0.03
Hg2 0.500 0.500 0.000  -0.03
Sb1 0.500 0.000 0.500  0.01
Tc1 0.000 0.500 0.500  1.89

Summary:
- raw total energy (eV/atom) = -3.018
- theoretical density (g cm⁻³) = 11.9
- space-group type = P4/mmm, No. 123
- formation energy from raw total energies (eV/atom) = 0.76

[5]
Density functional theory data (GGA-PBE) for a geometry-optimized MgSn2Se3 structure.

Cell: 7.764 7.549 14.728 Å, 90.78 91.52 59.05°
Positions (direct):
Mg1 0.730 0.986 0.160
Mg2 0.284 0.986 0.340
Mg3 0.270 0.014 0.840
Mg4 0.716 0.014 0.660
Sn1 0.476 0.435 0.370
Sn2 0.089 0.435 0.130
Sn3 0.524 0.565 0.630
Sn4 0.911 0.565 0.870
Sn5 0.332 0.767 0.098
Sn6 0.901 0.767 0.402
Sn7 0.668 0.233 0.902
Sn8 0.099 0.233 0.598
Se1 0.609 0.783 0.250
Se2 0.391 0.217 0.750
Se3 0.472 0.341 0.095
Se4 0.187 0.341 0.405
Se5 0.528 0.659 0.905
Se6 0.813 0.659 0.595
Se7 0.730 0.220 0.519
Se8 0.050 0.220 0.981
Se9 0.270 0.780 0.481
Se10 0.950 0.780 0.019
Se11 0.061 0.878 0.250
Se12 0.939 0.122 0.750

Summary:
- raw total energy (eV/atom) = -3.937
- theoretical density (g cm⁻³) = 4.5
- space-group type = C2/c, No. 15
- formation energy from raw total energies (eV/atom) = -0.60

[6]
Density functional theory data (GGA-PBE) for a geometry-optimized TcHg3 structure.

Cell: 4.285 4.285 4.284 Å, 90.00 90.00 90.00°
Site moments in Bohr magnetons follow the coordinates.
Positions (direct):
Hg1 0.000 0.000 0.000  -0.03
Hg2 0.500 0.000 0.500  -0.03
Hg3 0.500 0.500 0.000  -0.03
Tc1 0.000 0.500 0.500  1.13

Summary:
- offset from the most stable computed form (eV per formula unit) = 0.77
- raw total energy (eV/atom) = -2.284
- theoretical density (g cm⁻³) = 14.8
- space-group type = Pm-3m, No. 221
- energy of formation (eV/atom) = 0.53